1.
First-principles (PBE) data for a relaxed PaInSn2N crystal, as listed in the Alexandria database.

Calculated values
Its space group is No. 129. The crystal system is tetragonal. Its formation energy without anion corrections is -586 meV per atom. The spin magnetization is 0.0 μB per cell.

Cell and atoms, written as CIF:
```
data_PaInSn2N
_chemical_formula_sum 'Pa2 In2 Sn4 N2'
_cell_length_a 3.857
_cell_length_b 3.857
_cell_length_c 17.479
_cell_angle_alpha 90.00
_cell_angle_beta 90.00
_cell_angle_gamma 90.00
_symmetry_space_group_name_H-M 'P 1'
_symmetry_Int_Tables_number 1
loop_
_symmetry_equiv_pos_as_xyz
'x,y,z'
loop_
_atom_site_label
_atom_site_type_symbol
_atom_site_fract_x
_atom_site_fract_y
_atom_site_fract_z
Pa1 Pa 0.250 0.250 0.068
Pa2 Pa 0.750 0.750 0.932
In1 In 0.250 0.250 0.650
In2 In 0.750 0.750 0.350
Sn1 Sn 0.250 0.250 0.443
Sn2 Sn 0.250 0.250 0.817
Sn3 Sn 0.750 0.750 0.183
Sn4 Sn 0.750 0.750 0.557
N1 N 0.250 0.750 0.000
N2 N 0.750 0.250 0.000
```

***

2.
First-principles (PBE) data for a relaxed TlMoAsW2 crystal, as listed in the Alexandria database.

Calculated values
The value obtained for the formation energy is 15.50 eV/f.u. Its space group is No. 123. The crystal system is tetragonal. The spin magnetization is 0.0 μB per cell.

Cell and atoms, written as CIF:
```
data_TlMoAsW2
_chemical_formula_sum 'Tl1 Mo1 As1 W2'
_cell_length_a 4.981
_cell_length_b 4.981
_cell_length_c 4.976
_cell_angle_alpha 90.00
_cell_angle_beta 90.00
_cell_angle_gamma 90.00
_symmetry_space_group_name_H-M 'P 1'
_symmetry_Int_Tables_number 1
loop_
_symmetry_equiv_pos_as_xyz
'x,y,z'
loop_
_atom_site_label
_atom_site_type_symbol
_atom_site_fract_x
_atom_site_fract_y
_atom_site_fract_z
Tl1 Tl 0.000 0.000 0.000
Mo1 Mo 0.000 0.000 0.500
As1 As 0.500 0.500 0.500
W1 W 0.000 0.500 0.000
W2 W 0.500 0.000 0.000
```